No. 1
## DyMgGa (PBE-GGA)

Data for DyMgGa after structural relaxation.

Computed properties:
The value obtained for the calculated formation energy is -0.410 eV/atom.

a b c (Å): 10.7934 4.4338 7.2826
angles (deg): 90.00 126.78 90.00
With the nearest neighbours (Å) after each atom.
Space group C2/m (No. 12)
Unique sites:
1 Dy 0.0640 0.0000 0.3210 [4 per cell]  5 Ga 3.02-3.25, 2 Mg 3.36
2 Mg 0.1778 0.5000 0.0894 [4 per cell]  3 Ga 2.77-2.94
3 Ga 0.1488 0.5000 0.6612 [4 per cell]  1 Ga 2.61, 2 Mg 2.77

***

No. 2
## Dy2MgGa9 (PBE-GGA)

Data for Dy2MgGa9 after structural relaxation.

Computed properties:
The value obtained for the calculated formation energy is -0.381 eV/atom.

a b c (Å): 4.2669 4.2669 12.6453
angles (deg): 90.00 90.00 90.00
With the nearest neighbours (Å) after each atom.
Space group P4/mmm (No. 123)
Unique sites:
1 Dy 0.0000 0.0000 0.1690 [2 per cell]  12 Ga 3.02-3.06
2 Mg 0.0000 0.0000 0.5000 [1 per cell]  12 Ga 2.92-3.02
3 Ga 0.0000 0.5000 0.0000 [2 per cell]  8 Ga 2.99-3.02, 4 Dy 3.02
4 Ga 0.0000 0.5000 0.3427 [4 per cell]  8 Ga 2.92-3.10, 2 Mg 2.92, 2 Dy 3.06
5 Ga 0.5000 0.5000 0.1652 [2 per cell]  8 Ga 2.99-3.10, 4 Dy 3.02
6 Ga 0.5000 0.5000 0.5000 [1 per cell]  8 Ga 2.92, 4 Mg 3.02

***

No. 3
## Dy2MgGa4 (PBE-GGA)

Data for Dy2MgGa4 after structural relaxation.

Computed properties:
The value obtained for the calculated formation energy is 0.098 eV/atom.

a b c (Å): 5.6883 11.6297 5.7134
angles (deg): 90.00 90.00 90.00
With the nearest neighbours (Å) after each atom.
Space group Cmmm (No. 65)
Unique sites:
1 Dy 0.0000 0.1476 0.0000 [4 per cell]  5 Ga 2.88-2.89
2 Mg 0.0000 0.5000 0.5000 [2 per cell]  8 Ga 3.10-3.16
3 Ga 0.0000 0.1182 0.5000 [4 per cell]  1 Ga 2.75, 2 Dy 2.88
4 Ga 0.0000 0.3957 0.0000 [4 per cell]  1 Ga 2.43

***

No. 4
## DyMg3Ga3 (PBE-GGA)

Data for DyMg3Ga3 after structural relaxation.

Computed properties:
The value obtained for the calculated formation energy is 0.396 eV/atom.

a b c (Å): 7.2726 7.2726 7.2726
angles (deg): 90.00 90.00 90.00
With the nearest neighbours (Å) after each atom.
Space group Pm-3n (No. 223)
Unique sites:
1 Dy 0.0000 0.0000 0.0000 [2 per cell]  12 Mg 4.07, 12 Ga 4.07
2 Mg 0.0000 0.2500 0.5000 [6 per cell]  4 Ga 2.57
3 Ga 0.0000 0.5000 0.2500 [6 per cell]  4 Mg 2.57